No. 1
DFT (GGA-PBE) results for an optimized crystal structure of HgWSe.

Cell lengths 3.1567, 3.1567, 7.1688 Å; angles 90.00, 90.00, 120.00 degrees
With the nearest neighbours (Å) after each atom.
Fractional coordinates of all 3 atoms:
1 Hg 0.0000 0.0000 0.9659  3 W 2.99, 6 Hg 3.16
2 W 0.3333 0.6667 0.6361  3 Se 2.50
3 Se 0.6667 0.3333 0.3980  3 W 2.50

The calculation puts the energy at -16.3 eV/cell. The offset from the most stable computed form comes out at 0 meV/atom.

=====

No. 2
DFT (GGA-PBE) results for an optimized crystal structure of La2YTlBi.

Cell lengths 5.8738, 5.8148, 5.8738 Å; angles 90.00, 90.00, 90.00 degrees
With the nearest neighbours (Å) after each atom.
Fractional coordinates of all 5 atoms:
1 La 0.0000 0.0000 0.5000  2 Y 2.94
2 La 0.5000 0.0000 0.0000  2 Y 2.94
3 Tl 0.5000 0.5000 0.5000  8 La 4.13, 4 Bi 4.15
4 Y 0.0000 0.0000 0.0000  2 Bi 2.91, 4 La 2.94
5 Bi 0.0000 0.5000 0.0000  2 Y 2.91

The calculation puts the energy at -20.9 eV/cell. The calculation puts the formation energy at 0.325 eV per atom.

=====

No. 3
DFT (GGA-PBE) results for an optimized crystal structure of TcPIr.

Cell lengths 2.9015, 7.1673, 8.3045 Å; angles 90.00, 90.00, 90.00 degrees
With the nearest neighbours (Å) after each atom.
Fractional coordinates of all 12 atoms:
1 Tc 0.5000 0.5000 0.1349  4 P 2.46, 2 Tc 2.70
2 Tc 0.0000 0.0000 0.9090  2 P 2.37
3 Tc 0.0000 0.5000 0.4090  2 P 2.37
4 Tc 0.5000 0.0000 0.6349  4 P 2.46, 2 Tc 2.70
5 Ir 0.5000 0.8108 0.3414  2 P 2.37
6 Ir 0.5000 0.3108 0.8414  2 P 2.37
7 Ir 0.5000 0.6892 0.8414  2 P 2.37
8 Ir 0.5000 0.1892 0.3414  2 P 2.37
9 P 0.0000 0.2757 0.6181  3 Tc 2.37-2.46, 2 Ir 2.37
10 P 0.0000 0.7243 0.6181  3 Tc 2.37-2.46, 2 Ir 2.37
11 P 0.0000 0.2243 0.1181  3 Tc 2.37-2.46, 2 Ir 2.37
12 P 0.0000 0.7757 0.1181  3 Tc 2.37-2.46, 2 Ir 2.37

The calculation puts the energy at -102.8 eV/cell. The calculation puts the formation energy at -0.357 eV per atom. The offset from the most stable computed form comes out at 3 meV/atom.

=====

No. 4
DFT (GGA-PBE) results for an optimized crystal structure of FeCu2Te.

Cell lengths 4.8416, 4.8416, 3.8440 Å; angles 66.62, 66.62, 46.74 degrees
With the nearest neighbours (Å) after each atom.
Fractional coordinates of all 4 atoms:
1 Te 0.2500 0.2500 0.2500  8 Cu 2.72-2.78, 4 Fe 2.78
2 Cu 0.0001 0.0001 0.9999  4 Fe 2.72, 4 Cu 2.77-2.78, 4 Te 2.78
3 Cu 0.7500 0.7500 0.7500  4 Te 2.72, 4 Cu 2.77-2.78, 4 Fe 2.78
4 Fe 0.4999 0.4999 0.5001  8 Cu 2.72-2.78, 4 Te 2.78

The calculation puts the energy at -18.7 eV/cell.

=====

No. 5
DFT (GGA-PBE) results for an optimized crystal structure of ZnGa3Tc.

Cell lengths 4.8477, 4.8477, 4.8477 Å; angles 90.00, 90.00, 90.00 degrees
With the nearest neighbours (Å) after each atom.
Fractional coordinates of all 5 atoms:
1 Zn 0.5000 0.5000 0.5000  12 Ga 3.43
2 Ga 0.0000 0.0000 0.5000  2 Tc 2.42
3 Ga 0.0000 0.5000 0.0000  2 Tc 2.42
4 Ga 0.5000 0.0000 0.0000  2 Tc 2.42
5 Tc 0.0000 0.0000 0.0000  6 Ga 2.42

The calculation puts the energy at -19.4 eV/cell. The calculation puts the formation energy at 0.269 eV per atom. The offset from the most stable computed form comes out at 294 meV/atom.

=====

No. 6
DFT (GGA-PBE) results for an optimized crystal structure of BaCu2Cl.

Cell lengths 4.3770, 4.3770, 6.7522 Å; angles 90.08, 90.08, 59.84 degrees
With the nearest neighbours (Å) after each atom.
Fractional coordinates of all 4 atoms:
1 Ba 0.5415 0.5415 0.4715  3 Cl 3.11, 6 Cu 3.30-3.42
2 Cl 0.8745 0.8745 0.7398  1 Cu 2.65
3 Cu 0.2085 0.2085 0.1563  3 Cu 2.53
4 Cu 0.8755 0.8755 0.1324  3 Cu 2.53, 1 Cl 2.65

The calculation puts the energy at -14.2 eV/cell. The offset from the most stable computed form comes out at 0 meV/atom.

=====

No. 7
DFT (GGA-PBE) results for an optimized crystal structure of PmErCuRh.

Cell lengths 4.9268, 4.9268, 4.9268 Å; angles 60.00, 60.00, 60.00 degrees
With the nearest neighbours (Å) after each atom.
Fractional coordinates of all 4 atoms:
1 Cu 0.7500 0.7500 0.7500  4 Er 3.02, 4 Pm 3.02
2 Pm 0.5000 0.5000 0.5000  4 Cu 3.02, 4 Rh 3.02
3 Er 0.0000 0.0000 0.0000  4 Rh 3.02, 4 Cu 3.02
4 Rh 0.2500 0.2500 0.2500  4 Pm 3.02, 4 Er 3.02

The calculation puts the energy at -22.8 eV/cell. The calculation puts the formation energy at -0.513 eV per atom. The offset from the most stable computed form comes out at 30 meV/atom.

=====

No. 8
DFT (GGA-PBE) results for an optimized crystal structure of Y2Tc.

Cell lengths 6.0422, 5.8212, 5.8212 Å; angles 105.63, 121.26, 58.74 degrees
With the nearest neighbours (Å) after each atom.
Fractional coordinates of all 6 atoms:
1 Y 0.6756 0.5000 0.8512  4 Tc 3.00
2 Y 0.8244 0.8512 0.5000  4 Tc 3.00
3 Y 0.3244 0.5000 0.1488  4 Tc 3.00
4 Y 0.1756 0.1488 0.5000  4 Tc 3.00
5 Tc 0.2500 0.0000 0.0000  8 Y 3.00, 2 Tc 3.02
6 Tc 0.7500 0.0000 0.0000  8 Y 3.00, 2 Tc 3.02

The calculation puts the energy at -46.6 eV/cell. The calculation puts the formation energy at -0.001 eV per atom. The offset from the most stable computed form comes out at 12 meV/atom.

=====

No. 9
DFT (GGA-PBE) results for an optimized crystal structure of Pm2Tl3Hg.

Cell lengths 3.6560, 5.0389, 9.0799 Å; angles 90.00, 90.00, 90.00 degrees
With the nearest neighbours (Å) after each atom.
Fractional coordinates of all 6 atoms:
1 Tl 0.5000 0.0000 0.8360  3 Tl 2.99-3.04
2 Tl 0.5000 0.5000 0.6592  1 Hg 2.96, 2 Tl 2.99
3 Tl 0.5000 0.0000 0.1713  2 Hg 2.92, 1 Tl 3.04
4 Pm 0.0000 0.0000 0.4963  8 Tl 3.45-3.59, 4 Hg 3.45, 2 Pm 3.66
5 Pm 0.0000 0.5000 0.0044  10 Tl 3.46-3.63, 2 Hg 3.50, 2 Pm 3.66
6 Hg 0.5000 0.5000 0.3328  3 Tl 2.92-2.96

The calculation puts the energy at -18.5 eV/cell. The calculation puts the formation energy at -0.265 eV per atom.

=====

No. 10
DFT (GGA-PBE) results for an optimized crystal structure of YInIrS2.

Cell lengths 5.2214, 5.4291, 5.2214 Å; angles 90.00, 90.00, 90.00 degrees
With the nearest neighbours (Å) after each atom.
Fractional coordinates of all 5 atoms:
1 Y 0.0000 0.0000 0.0000  4 S 2.61, 2 Ir 2.71
2 In 0.5000 0.5000 0.5000  4 Ir 3.69, 8 S 3.77
3 S 0.5000 0.0000 0.0000  2 Y 2.61
4 S 0.0000 0.0000 0.5000  2 Y 2.61
5 Ir 0.0000 0.5000 0.0000  2 Y 2.71

The calculation puts the energy at -24.8 eV/cell.

=====

No. 11
DFT (GGA-PBE) results for an optimized crystal structure of Tl2OsRh.

Cell lengths 3.1572, 4.5244, 5.3116 Å; angles 90.00, 90.00, 90.00 degrees
With the nearest neighbours (Å) after each atom.
Fractional coordinates of all 4 atoms:
1 Rh 0.0000 0.5000 0.5000  4 Tl 2.76, 4 Os 3.09
2 Tl 0.5000 0.0000 0.5000  4 Rh 2.76, 4 Tl 3.09
3 Tl 0.0000 0.0000 0.0000  4 Os 2.76, 4 Tl 3.09
4 Os 0.5000 0.5000 0.0000  4 Tl 2.76, 4 Rh 3.09

The calculation puts the energy at -20.1 eV/cell. The calculation puts the formation energy at 0.799 eV per atom. The offset from the most stable computed form comes out at 304 meV/atom.

=====

No. 12
DFT (GGA-PBE) results for an optimized crystal structure of IrN3Cl.

Cell lengths 3.6821, 3.6821, 3.6821 Å; angles 90.00, 90.00, 90.00 degrees
With the nearest neighbours (Å) after each atom.
Fractional coordinates of all 5 atoms:
1 N 0.0000 0.0000 0.5000  2 Cl 1.84
2 N 0.5000 0.0000 0.0000  2 Cl 1.84
3 N 0.0000 0.5000 0.0000  2 Cl 1.84
4 Cl 0.0000 0.0000 0.0000  6 N 1.84
5 Ir 0.5000 0.5000 0.5000  12 N 2.60

The calculation puts the energy at -20.4 eV/cell.